Record 1
# Ba3ZrMn2O8, optimized geometry, DFT PBE+U
data_Ba3ZrMn2O8
_cell_length_a 6.0167
_cell_length_b 6.0167
_cell_length_c 7.5344
_cell_angle_alpha 90.00
_cell_angle_beta 90.00
_cell_angle_gamma 120.00
_symmetry_space_group_name_H-M 'P -3 m 1'
_symmetry_Int_Tables_number 164
_symmetry_space_group_name_Hall '-P 3 2"'
loop_
_atom_site_label
_atom_site_fract_x
_atom_site_fract_y
_atom_site_fract_z
Ba1 0.0000 0.0000 0.0000
Ba2 0.3333 0.6667 0.6586
Zr1 0.0000 0.0000 0.5000
Mn1 0.3333 0.6667 0.2196
O1 0.1623 0.3245 0.3298
O2 0.3333 0.6667 0.9832
# **Crystal system**: trigonal
# **DFT total energy**: -7.272 eV per atom

Record 2
# Ba2ZrMn2O6, optimized geometry, DFT PBE+U
data_Ba2ZrMn2O6
_cell_length_a 6.0394
_cell_length_b 6.0394
_cell_length_c 16.5760
_cell_angle_alpha 90.00
_cell_angle_beta 90.00
_cell_angle_gamma 120.00
_symmetry_space_group_name_H-M 'R -3 m'
_symmetry_Int_Tables_number 166
_symmetry_space_group_name_Hall '-R 3 2"'
loop_
_atom_site_label
_atom_site_fract_x
_atom_site_fract_y
_atom_site_fract_z
Ba1 0.0000 0.0000 0.2257
Zr1 0.0000 0.0000 0.0000
Mn1 0.0000 0.0000 0.4420
O1 0.0135 0.5068 0.7444
# **Crystal system**: trigonal
# **DFT total energy**: -7.100 eV per atom